No. 1
10
Lattice="3.301 0.000 0.000 0.000 3.301 0.000 0.000 0.000 18.254" Properties=species:S:1:pos:R:3 comment="Mg5Hg4Rh GGA-PBE optimized geometry" energy_ev_per_atom=-1.9471 delta_e_f_mev_per_atom=-294 pbc="T T T"
Hg 0.000 0.000 11.078
Hg 0.000 0.000 7.177
Hg 0.000 0.000 14.970
Mg 1.650 1.650 13.043
Mg 1.650 1.650 9.127
Mg 1.650 1.650 1.422
Rh 0.000 0.000 0.000
Hg 0.000 0.000 3.285
Mg 1.650 1.650 5.211
Mg 1.650 1.650 16.832

---

No. 2
11
Lattice="7.765 0.000 0.000 -3.883 5.695 -0.144 0.000 -3.434 7.938" Properties=species:S:1:pos:R:3 comment="AcTl2Ge2S6 GGA-PBE optimized geometry" formation_energy_uncorrected_ev_per_fu=-7.12 energy_ev_per_atom=-4.5420 pbc="T T T"
Ge 3.883 3.159 4.902
Tl 3.883 1.669 0.992
S 2.073 4.182 1.631
Tl 0.000 0.592 6.802
S 5.955 -1.921 6.163
S 1.810 -1.921 6.163
S -2.073 4.182 1.631
S 0.000 1.061 3.839
Ac 3.883 -1.717 3.969
Ge 0.000 -0.898 2.892
S 3.883 1.200 3.955

---

No. 3
4
Lattice="5.095 0.000 0.000 2.547 4.412 0.000 2.547 1.471 4.160" Properties=species:S:1:pos:R:3 comment="NaHoPdPb GGA-PBE optimized geometry" energy_ev_per_atom=-4.0487 delta_e_f_mev_per_atom=-349 pbc="T T T"
Pb 0.000 0.000 0.000
Ho 7.642 4.412 3.120
Na 2.547 1.471 1.040
Pd 5.095 2.941 2.080

---

No. 4
4
Lattice="-4.801 3.470 -0.156 -5.423 -2.238 0.836 5.490 1.369 1.759" Properties=species:S:1:pos:R:3 comment="KRu2Pt GGA-PBE optimized geometry" energy_ev_per_atom=-5.5811 polymorph_energy_mev_per_atom=405 delta_e_f_mev_per_atom=841 pbc="T T T"
Pt -2.525 2.766 0.992
K -5.069 0.611 0.337
Ru -2.139 -0.173 1.442
Ru -0.111 0.013 0.007